DFT (PBE with a Hubbard U) results for a relaxed Tl2VO5 crystal.

a b c (Å): 8.370 8.370 11.180
angles (deg): 117.73 117.73 51.14
Fractional coordinates of all 32 atoms:
Tl: 0.025 0.252 0.842
Tl: 0.191 0.725 0.517
Tl: 0.252 0.025 0.342
Tl: 0.275 0.809 0.983
Tl: 0.725 0.191 0.017
Tl: 0.748 0.975 0.658
Tl: 0.809 0.275 0.483
Tl: 0.975 0.748 0.158
V: 0.225 0.411 0.692
V: 0.411 0.225 0.192
V: 0.589 0.775 0.808
V: 0.775 0.589 0.308
O: 0.056 0.360 0.699
O: 0.069 0.908 0.113
O: 0.074 0.643 0.636
O: 0.092 0.931 0.387
O: 0.204 0.382 0.073
O: 0.357 0.926 0.864
O: 0.360 0.056 0.199
O: 0.382 0.204 0.573
O: 0.388 0.446 0.857
O: 0.446 0.388 0.357
O: 0.554 0.612 0.643
O: 0.612 0.554 0.143
O: 0.618 0.796 0.427
O: 0.640 0.944 0.801
O: 0.643 0.074 0.136
O: 0.796 0.618 0.927
O: 0.908 0.069 0.613
O: 0.926 0.357 0.364
O: 0.931 0.092 0.887
O: 0.944 0.640 0.301

Summary:
**Raw total energy**: -5.797 eV/atom
**Spin magnetization**: 0.00 Bohr magnetons per cell
**SG**: C2/c (15)